No. 1
## Be2TcRu (GGA-PBE)

Data for a relaxed Be2TcRu crystal.

Output
* calculated volume: 11.7 Å³/atom
* excess energy over the best structure of this formula in the dataset: 0.280 eV/atom
* DFT formation energy: 0.3 eV/f.u.
* E_tot: -6.704 eV/atom

abc: 4.518 4.518 4.518
angles: 141.52 123.72 70.25
Element x y z (fractional)
Tc  0.250  0.750  0.500
Be  0.998  0.998  0.000
Be  0.502  0.502  0.000
Ru  0.750  0.250  0.500

No. 2
## BeTcRu2 (GGA-PBE)

Data for a relaxed BeTcRu2 crystal.

Output
* calculated volume: 12.5 Å³/atom
* DFT formation energy: -0.2 eV/f.u.
* E_tot: -8.223 eV/atom

abc: 2.762 2.762 6.577
angles: 90.00 90.00 90.00
Element x y z (fractional)
Ru  0.000  0.000  0.962
Ru  0.500  0.500  0.248
Be  0.500  0.500  0.760
Tc  0.000  0.000  0.530

No. 3
## Be3TcRu (GGA-PBE)

Data for a relaxed Be3TcRu crystal.

Output
* calculated volume: 13.0 Å³/atom
* excess energy over the best structure of this formula in the dataset: 0.000 eV/atom
* DFT formation energy: 3.9 eV/f.u.
* E_tot: -5.390 eV/atom

abc: 4.020 4.020 4.020
angles: 90.00 90.00 90.00
Site moments in Bohr magnetons follow the coordinates.
Element x y z (fractional)
Ru  0.000  0.000  0.000  0.20
Be  0.500  0.000  0.000  -0.03
Be  0.000  0.000  0.500  -0.04
Be  0.000  0.500  0.000  -0.04
Tc  0.500  0.500  0.500  2.01

No. 4
## BeTcRu2 (GGA-PBE)

Data for a relaxed BeTcRu2 crystal.

Output
* calculated volume: 12.9 Å³/atom
* DFT formation energy: 0.1 eV/f.u.
* E_tot: -8.142 eV/atom

abc: 3.879 2.702 5.172
angles: 72.85 90.00 90.00
Element x y z (fractional)
Tc  0.500  0.250  0.250
Be  0.500  0.750  0.750
Ru  0.000  0.596  0.520
Ru  0.000  0.904  0.980

No. 5
## BeTcRu2 (GGA-PBE)

Data for a relaxed BeTcRu2 crystal.

Output
* calculated volume: 13.1 Å³/atom
* DFT formation energy: 0.1 eV/f.u.
* E_tot: -8.136 eV/atom

abc: 2.742 3.648 5.223
angles: 90.00 90.00 90.00
Element x y z (fractional)
Be  0.500  0.500  0.750
Ru  0.000  0.000  0.516
Ru  0.000  0.000  0.984
Tc  0.500  0.500  0.250

No. 6
## Be2TcRu (GGA-PBE)

Data for a relaxed Be2TcRu crystal.

Output
* calculated volume: 11.7 Å³/atom
* excess energy over the best structure of this formula in the dataset: 0.263 eV/atom
* DFT formation energy: 0.2 eV/f.u.
* E_tot: -6.722 eV/atom

abc: 3.016 4.260 3.630
angles: 90.00 90.00 90.00
Element x y z (fractional)
Be  0.000  0.000  0.000
Be  0.500  0.500  0.000
Ru  0.500  0.000  0.500
Tc  0.000  0.500  0.500

No. 7
## BeTcRu (GGA-PBE)

Data for a relaxed BeTcRu crystal.

Output
* calculated volume: 12.5 Å³/atom
* excess energy over the best structure of this formula in the dataset: 0.193 eV/atom
* DFT formation energy: -0.1 eV/f.u.
* E_tot: -7.833 eV/atom

abc: 4.006 4.006 2.705
angles: 90.00 90.00 120.00
Element x y z (fractional)
Tc  0.333  0.667  0.681
Be  0.000  0.000  0.098
Ru  0.667  0.333  0.222

No. 8
## BeTcRu2 (GGA-PBE)

Data for a relaxed BeTcRu2 crystal.

Output
* calculated volume: 13.2 Å³/atom
* DFT formation energy: 1.1 eV/f.u.
* E_tot: -7.883 eV/atom

abc: 2.647 2.647 8.327
angles: 90.00 90.00 115.13
Element x y z (fractional)
Tc  0.000  0.000  0.517
Ru  0.000  0.000  0.976
Ru  0.500  0.500  0.252
Be  0.500  0.500  0.755

No. 9
## Be4TcRu (GGA-PBE)

Data for a relaxed Be4TcRu crystal.

Output
* calculated volume: 9.7 Å³/atom
* DFT formation energy: -2.2 eV/f.u.
* E_tot: -6.121 eV/atom

abc: 4.351 4.351 4.351
angles: 60.00 60.00 60.00
Element x y z (fractional)
Be  0.626  0.122  0.626
Be  0.122  0.626  0.626
Be  0.626  0.626  0.122
Be  0.626  0.626  0.626
Tc  0.000  0.000  0.000
Ru  0.250  0.250  0.250

No. 10
## BeTcRu (GGA-PBE)

Data for a relaxed BeTcRu crystal.

Output
* calculated volume: 11.9 Å³/atom
* excess energy over the best structure of this formula in the dataset: 0.003 eV/atom
* DFT formation energy: -0.7 eV/f.u.
* E_tot: -8.023 eV/atom

abc: 4.540 4.577 4.577
angles: 75.79 60.26 60.26
Element x y z (fractional)
Tc  0.399  0.167  0.095
Tc  0.899  0.479  0.783
Be  0.995  0.977  0.593
Be  0.495  0.977  0.593
Ru  0.083  0.796  0.097
Ru  0.583  0.480  0.413

No. 11
## Be2TcRu (GGA-PBE)

Data for a relaxed Be2TcRu crystal.

Output
* calculated volume: 11.7 Å³/atom
* excess energy over the best structure of this formula in the dataset: 0.137 eV/atom
* DFT formation energy: -0.3 eV/f.u.
* E_tot: -6.848 eV/atom

abc: 4.049 4.049 4.049
angles: 60.00 60.00 60.00
Element x y z (fractional)
Be  0.250  0.250  0.250
Be  0.000  0.000  0.000
Tc  0.750  0.750  0.750
Ru  0.500  0.500  0.500

No. 12
## Be2TcRu (GGA-PBE)

Data for a relaxed Be2TcRu crystal.

Output
* calculated volume: 11.2 Å³/atom
* excess energy over the best structure of this formula in the dataset: 0.028 eV/atom
* DFT formation energy: -0.7 eV/f.u.
* E_tot: -6.956 eV/atom

abc: 2.782 2.782 5.805
angles: 90.00 90.00 90.00
Element x y z (fractional)
Tc  0.500  0.500  0.767
Be  0.500  0.500  0.224
Be  0.000  0.000  0.039
Ru  0.000  0.000  0.471

No. 13
## BeTcRu2 (GGA-PBE)

Data for a relaxed BeTcRu2 crystal.

Output
* calculated volume: 13.1 Å³/atom
* DFT formation energy: 0.5 eV/f.u.
* E_tot: -8.045 eV/atom

abc: 2.952 4.218 4.218
angles: 90.00 90.00 90.00
Element x y z (fractional)
Tc  0.500  0.500  0.000
Ru  0.000  0.500  0.500
Ru  0.000  0.000  0.000
Be  0.500  0.000  0.500

No. 14
## Be2TcRu (GGA-PBE)

Data for a relaxed Be2TcRu crystal.

Output
* calculated volume: 11.1 Å³/atom
* excess energy over the best structure of this formula in the dataset: 0.094 eV/atom
* DFT formation energy: -0.5 eV/f.u.
* E_tot: -6.890 eV/atom

abc: 2.799 2.797 5.648
angles: 90.00 90.00 90.00
Element x y z (fractional)
Be  0.000  0.000  0.017
Be  0.000  0.000  0.483
Tc  0.500  0.500  0.750
Ru  0.500  0.500  0.250

No. 15
## BeTcRu (GGA-PBE)

Data for a relaxed BeTcRu crystal.

Output
* calculated volume: 12.4 Å³/atom
* excess energy over the best structure of this formula in the dataset: 0.173 eV/atom
* DFT formation energy: -0.2 eV/f.u.
* E_tot: -7.853 eV/atom

abc: 4.026 7.401 4.995
angles: 90.00 90.00 90.00
Element x y z (fractional)
Be  0.750  0.884  0.712
Be  0.750  0.616  0.212
Be  0.250  0.116  0.288
Be  0.250  0.384  0.788
Ru  0.750  0.558  0.700
Ru  0.250  0.058  0.800
Ru  0.750  0.942  0.200
Ru  0.250  0.442  0.300
Tc  0.750  0.292  0.074
Tc  0.250  0.708  0.926
Tc  0.750  0.208  0.574
Tc  0.250  0.792  0.426

No. 16
## Be3TcRu (GGA-PBE)

Data for a relaxed Be3TcRu crystal.

Output
* calculated volume: 13.0 Å³/atom
* excess energy over the best structure of this formula in the dataset: 0.302 eV/atom
* DFT formation energy: 5.4 eV/f.u.
* E_tot: -5.088 eV/atom

abc: 4.018 4.018 4.018
angles: 90.00 90.00 90.00
Site moments in Bohr magnetons follow the coordinates.
Element x y z (fractional)
Tc  0.000  0.000  0.000  -0.03
Be  0.500  0.000  0.000  0.00
Be  0.000  0.500  0.000  0.00
Be  0.000  0.000  0.500  0.00
Ru  0.500  0.500  0.500  0.15

No. 17
## BeTcRu2 (GGA-PBE)

Data for a relaxed BeTcRu2 crystal.

Output
* calculated volume: 12.6 Å³/atom
* DFT formation energy: -0.2 eV/f.u.
* E_tot: -8.222 eV/atom

abc: 4.888 4.888 4.888
angles: 146.61 127.51 63.65
Element x y z (fractional)
Ru  0.029  0.029  0.000
Ru  0.471  0.471  0.000
Be  0.250  0.750  0.500
Tc  0.750  0.250  0.500

No. 18
## BeTcRu2 (GGA-PBE)

Data for a relaxed BeTcRu2 crystal.

Output
* calculated volume: 12.6 Å³/atom
* DFT formation energy: -0.6 eV/f.u.
* E_tot: -8.299 eV/atom

abc: 2.823 2.823 6.306
angles: 90.00 90.00 90.00
Element x y z (fractional)
Tc  0.500  0.500  0.250
Ru  0.000  0.000  0.969
Ru  0.000  0.000  0.531
Be  0.500  0.500  0.750

No. 19
## Be2TcRu (GGA-PBE)

Data for a relaxed Be2TcRu crystal.

Output
* calculated volume: 11.7 Å³/atom
* excess energy over the best structure of this formula in the dataset: 0.255 eV/atom
* DFT formation energy: 0.2 eV/f.u.
* E_tot: -6.729 eV/atom

abc: 2.604 2.604 7.331
angles: 90.00 90.00 109.78
Site moments in Bohr magnetons follow the coordinates.
Element x y z (fractional)
Be  0.000  0.000  0.007  0.00
Be  0.000  0.000  0.493  0.00
Tc  0.500  0.500  0.750  0.00
Ru  0.500  0.500  0.250  0.08

No. 20
## BeTcRu2 (GGA-PBE)

Data for a relaxed BeTcRu2 crystal.

Output
* calculated volume: 12.7 Å³/atom
* DFT formation energy: -0.1 eV/f.u.
* E_tot: -8.196 eV/atom

abc: 4.889 4.889 4.889
angles: 145.91 128.41 63.29
Element x y z (fractional)
Ru  0.026  0.026  0.000
Ru  0.750  0.250  0.500
Be  0.246  0.746  0.500
Tc  0.478  0.478  0.000

No. 21
## Be2TcRu (GGA-PBE)

Data for a relaxed Be2TcRu crystal.

Output
* calculated volume: 11.7 Å³/atom
* excess energy over the best structure of this formula in the dataset: 0.248 eV/atom
* DFT formation energy: 0.1 eV/f.u.
* E_tot: -6.736 eV/atom

abc: 3.626 2.636 4.969
angles: 78.93 90.00 90.00
Element x y z (fractional)
Be  0.000  0.499  0.488
Be  0.000  0.001  0.012
Tc  0.500  0.750  0.750
Ru  0.500  0.250  0.250

No. 22
## BeTcRu (GGA-PBE)

Data for a relaxed BeTcRu crystal.

Output
* calculated volume: 12.8 Å³/atom
* excess energy over the best structure of this formula in the dataset: 0.445 eV/atom
* DFT formation energy: 0.6 eV/f.u.
* E_tot: -7.580 eV/atom

abc: 6.391 6.164 2.647
angles: 82.70 73.04 24.26
Element x y z (fractional)
Ru  0.344  0.344  0.656
Tc  0.659  0.659  0.341
Be  0.997  0.997  0.003

No. 23
## BeTcRu (GGA-PBE)

Data for a relaxed BeTcRu crystal.

Output
* calculated volume: 14.9 Å³/atom
* excess energy over the best structure of this formula in the dataset: 0.584 eV/atom
* DFT formation energy: 1.0 eV/f.u.
* E_tot: -7.442 eV/atom

abc: 3.986 3.986 3.986
angles: 60.00 60.00 60.00
Element x y z (fractional)
Tc  0.000  0.000  0.000
Ru  0.750  0.750  0.750
Be  0.500  0.500  0.500

No. 24
## BeTc3Ru (GGA-PBE)

Data for a relaxed BeTc3Ru crystal.

Output
* calculated volume: 19.7 Å³/atom
* excess energy over the best structure of this formula in the dataset: 1.411 eV/atom
* DFT formation energy: 10.0 eV/f.u.
* E_tot: -6.817 eV/atom

abc: 4.620 4.620 4.620
angles: 90.00 90.00 90.00
Site moments in Bohr magnetons follow the coordinates.
Element x y z (fractional)
Be  0.500  0.500  0.500  -0.05
Tc  0.000  0.000  0.500  0.35
Tc  0.500  0.000  0.000  0.49
Tc  0.000  0.500  0.000  0.49
Ru  0.000  0.000  0.000  -0.08

No. 25
## BeTcRu2 (GGA-PBE)

Data for a relaxed BeTcRu2 crystal.

Output
* calculated volume: 13.1 Å³/atom
* DFT formation energy: 0.8 eV/f.u.
* E_tot: -7.952 eV/atom

abc: 2.662 2.662 8.187
angles: 90.00 90.00 115.43
Element x y z (fractional)
Tc  0.500  0.500  0.250
Ru  0.000  0.000  0.525
Ru  0.000  0.000  0.975
Be  0.500  0.500  0.750

No. 26
## Be17TcRu (GGA-PBE)

Data for a relaxed Be17TcRu crystal.

Output
* calculated volume: 8.4 Å³/atom
* DFT formation energy: -3.5 eV/f.u.
* E_tot: -4.551 eV/atom

abc: 5.454 5.454 5.454
angles: 82.94 82.94 82.94
Element x y z (fractional)
Be  0.351  0.351  0.844
Be  0.997  0.502  0.997
Be  0.696  0.002  0.302
Be  0.351  0.844  0.351
Be  0.163  0.648  0.648
Be  0.648  0.648  0.163
Be  0.897  0.897  0.897
Be  0.502  0.997  0.997
Be  0.103  0.103  0.103
Be  0.002  0.302  0.696
Be  0.302  0.696  0.002
Be  0.648  0.163  0.648
Be  0.696  0.302  0.002
Be  0.002  0.696  0.302
Be  0.844  0.351  0.351
Be  0.997  0.997  0.502
Be  0.302  0.002  0.696
Ru  0.338  0.338  0.338
Tc  0.661  0.661  0.661

No. 27
## UBeTcRu (GGA-PBE)

Data for a relaxed UBeTcRu crystal.

Output
* calculated volume: 15.6 Å³/atom
* DFT formation energy: -0.1 eV/f.u.
* E_tot: -8.691 eV/atom

abc: 4.455 4.455 4.455
angles: 60.00 60.00 60.00
Site moments in Bohr magnetons follow the coordinates.
Element x y z (fractional)
Be  0.750  0.750  0.750  0.01
Tc  0.000  0.000  0.000  -0.10
Ru  0.500  0.500  0.500  -0.07
U  0.250  0.250  0.250  0.74

No. 28
## Be2VTc2Ru5 (GGA-PBE)

Data for a relaxed Be2VTc2Ru5 crystal.

Output
* calculated volume: 12.8 Å³/atom
* DFT formation energy: -1.0 eV/f.u.
* E_tot: -8.470 eV/atom

abc: 2.964 9.282 9.282
angles: 90.00 90.00 90.00
Element x y z (fractional)
V  0.000  0.500  0.500
V  0.000  0.000  0.000
Be  0.000  0.625  0.875
Be  0.000  0.375  0.125
Be  0.000  0.125  0.625
Be  0.000  0.875  0.375
Ru  0.500  0.564  0.705
Ru  0.500  0.205  0.064
Ru  0.500  0.436  0.295
Ru  0.500  0.705  0.436
Ru  0.500  0.064  0.795
Ru  0.500  0.936  0.205
Ru  0.500  0.795  0.936
Ru  0.500  0.500  0.000
Ru  0.500  0.295  0.564
Ru  0.500  0.000  0.500
Tc  0.000  0.322  0.822
Tc  0.000  0.678  0.178
Tc  0.000  0.822  0.678
Tc  0.000  0.178  0.322